5
Lattice="4.196 0.000 0.000 0.000 4.196 0.000 0.000 0.000 3.806" Properties=species:S:1:pos:R:3 comment="PBE-GGA BaCuNO2, relaxed" space_group="No. 123" dos_at_fermi_per_ev_fu=2.620 pbc="T T T"
Cu 0.000 0.000 0.000
N 0.000 0.000 1.903
Ba 2.098 2.098 1.903
O 2.098 0.000 0.000
O 0.000 2.098 0.000

***

10
Lattice="-4.457 5.494 4.258 2.987 -3.053 7.066 3.703 5.007 5.422" Properties=species:S:1:pos:R:3 comment="PBE-GGA K2NaTlHg6, relaxed" formation_energy_ev_per_atom=-0.0433 space_group="No. 225" dos_at_fermi_per_ev_fu=6.976 pbc="T T T"
Na -0.735 1.220 5.662
K -0.744 5.861 7.671
K 2.978 1.587 9.075
Hg 2.609 6.823 13.850
Hg -0.376 0.624 2.896
Hg -2.553 3.308 4.976
Hg 0.800 4.378 11.201
Hg 1.083 -0.867 6.348
Hg 1.433 3.070 5.545
Tl 0.000 0.000 0.000

***

5
Lattice="5.527 0.000 0.000 0.000 5.527 0.000 0.000 0.000 5.527" Properties=species:S:1:pos:R:3 comment="PBE-GGA CsTiTe3, relaxed" space_group="No. 221" e_above_lowest_polymorph_mev_per_atom=141 dos_at_fermi_per_ev_fu=2.122 pbc="T T T"
Te 2.764 0.000 0.000
Te 0.000 2.764 0.000
Te 0.000 0.000 2.764
Cs 2.764 2.764 2.764
Ti 0.000 0.000 0.000

***

5
Lattice="-5.166 0.078 -2.800 0.609 -3.155 -1.211 -2.600 -2.319 4.733" Properties=species:S:1:pos:R:3 comment="PBE-GGA Tl2GaPC, relaxed" formation_energy_ev_per_atom=0.7968 space_group="No. 123" dos_at_fermi_per_ev_fu=2.480 pbc="T T T"
P 0.000 0.000 0.000
C 0.304 -1.578 -0.606
Tl -2.583 0.039 -1.400
Tl -1.300 -1.159 2.366
Ga -3.579 -2.698 0.361

***

Number 1: mass density 6.12 g/cm3, DFT total energy -5.36 eV per atom, spin magnetization 1.78 μB/cell. Number 2: mass density 6.30 g/cm3, DFT total energy -0.81 eV per atom, spin magnetization 0.00 μB/cell. Number 3: mass density 5.54 g/cm3, DFT total energy -4.26 eV per atom, spin magnetization 0.00 μB/cell. Number 4: mass density 7.30 g/cm3, DFT total energy -3.68 eV per atom, spin magnetization 0.00 μB/cell.